# 1
This record from Alexandria describes SbPdIO2 after structural relaxation. The functional is GGA-PBE.

Values from the calculation:
The formation energy without anion corrections comes out at 0.35 eV/atom. For the energy above the lowest structure with this stoichiometry, the calculation gives 745 meV/atom. The spin magnetization is 0.000 μB/f.u. As for the symmetry: P4/mmm.

Cell: 4.268 4.268 5.156 Å, 90.00 90.00 90.00°
Fractional coordinates of all 5 atoms:
O  0.500  0.000  0.000
O  0.000  0.500  0.000
Sb  0.500  0.500  0.500
Pd  0.000  0.000  0.000
I  0.000  0.000  0.500

---

# 2
This record from Alexandria describes SbPdI2O after structural relaxation. The functional is GGA-PBE.

Values from the calculation:
The formation energy without anion corrections comes out at 0.08 eV/atom. For the energy above the lowest structure with this stoichiometry, the calculation gives 0 meV/atom. The spin magnetization is 0.655 μB/f.u. As for the symmetry: P4/mmm.

Cell: 6.008 6.008 4.036 Å, 90.00 90.00 90.00°
Site moments in Bohr magnetons follow the coordinates.
Fractional coordinates of all 5 atoms:
Pd  0.500  0.500  0.500  0.50
I  0.500  0.000  0.000  0.05
I  0.000  0.500  0.000  0.05
Sb  0.000  0.000  0.000  0.00
O  0.000  0.000  0.500  0.00

---

# 3
This record from Alexandria describes SbPdI2O after structural relaxation. The functional is GGA-PBE.

Values from the calculation:
The formation energy without anion corrections comes out at 0.15 eV/atom. For the energy above the lowest structure with this stoichiometry, the calculation gives 71 meV/atom. The spin magnetization is 0.001 μB/f.u. As for the symmetry: P4/mmm.

Cell: 5.699 5.699 3.878 Å, 90.00 90.00 90.00°
Fractional coordinates of all 5 atoms:
I  0.000  0.500  0.000
I  0.500  0.000  0.000
O  0.000  0.000  0.500
Sb  0.500  0.500  0.500
Pd  0.000  0.000  0.000

---

# 4
This record from Alexandria describes SbPdI2O after structural relaxation. The functional is GGA-PBE.

Values from the calculation:
The formation energy without anion corrections comes out at 0.77 eV/atom. For the energy above the lowest structure with this stoichiometry, the calculation gives 690 meV/atom. The spin magnetization is 0.000 μB/f.u. As for the symmetry: P4/mmm.

Cell: 5.407 5.407 5.198 Å, 90.00 90.00 90.00°
Fractional coordinates of all 5 atoms:
I  0.000  0.500  0.000
I  0.500  0.000  0.000
Pd  0.000  0.000  0.000
O  0.500  0.500  0.500
Sb  0.000  0.000  0.500

---

# 5
This record from Alexandria describes SbPdI2O after structural relaxation. The functional is GGA-PBE.

Values from the calculation:
The formation energy without anion corrections comes out at 0.46 eV/atom. For the energy above the lowest structure with this stoichiometry, the calculation gives 383 meV/atom. The spin magnetization is 0.692 μB/f.u. As for the symmetry: P4/mmm.

Cell: 5.643 5.643 4.176 Å, 90.00 90.00 90.00°
Site moments in Bohr magnetons follow the coordinates.
Fractional coordinates of all 5 atoms:
O  0.000  0.000  0.000  0.22
I  0.000  0.500  0.000  0.10
I  0.500  0.000  0.000  0.10
Pd  0.500  0.500  0.500  0.17
Sb  0.000  0.000  0.500  0.00

---

# 6
This record from Alexandria describes SbPdIO2 after structural relaxation. The functional is GGA-PBE.

Values from the calculation:
The formation energy without anion corrections comes out at -0.39 eV/atom. For the energy above the lowest structure with this stoichiometry, the calculation gives 0 meV/atom. The spin magnetization is 0.000 μB/f.u. As for the symmetry: P4/mmm.

Cell: 3.955 3.955 6.671 Å, 90.00 90.00 90.00°
Fractional coordinates of all 5 atoms:
O  0.500  0.000  0.000
O  0.000  0.500  0.000
Pd  0.500  0.500  0.500
I  0.000  0.000  0.500
Sb  0.000  0.000  0.000

---

> What is the formula in the first record?

SbPdIO2